Density functional theory data (GGA+U) for a relaxed MnF crystal.

The space group is Pm-3n (No. 223) and the conventional cell measures 6.3662, 6.3662 and 6.3662 Å, with angles of 90.00, 90.00 and 90.00 degrees. The asymmetric unit holds Mn at (0.0000, 0.2500, 0.5000) and F at (0.0000, 0.5000, 0.2500).

The total magnetization is 30.2 μB/cell. Its polymorph energy (0 for the lowest one) is 354 meV per atom.